(1)
The following is a DFT calculation (PBE) of a relaxed SrGdGaCu crystal.

POSCAR file:
```
SrGdGaCu
1.0
-0.1864 3.9223 3.4431
-4.6128 1.8051 1.6546
-1.5502 -0.9025 4.9047
Gd Cu Sr Ga
1 1 1 1
Direct
0.0000 0.0000 0.0000
0.2500 0.2500 0.2500
0.5000 0.5000 0.5000
0.7500 0.7500 0.7500
```


(2)
The following is a DFT calculation (PBE) of a relaxed TbGdGaCu crystal.

POSCAR file:
```
TbGdGaCu
1.0
-2.1473 -4.0641 2.0630
2.8664 -3.8054 1.6392
0.4621 -0.8579 4.9431
Tb Gd Cu Ga
1 1 1 1
Direct
0.0000 0.0000 0.0000
0.5000 0.5000 0.5000
0.2500 0.2500 0.2500
0.7500 0.7500 0.7500
```


(3)
The following is a DFT calculation (PBE) of a relaxed GdThGaCu crystal.

POSCAR file:
```
GdThGaCu
1.0
-3.0386 -2.9677 -2.8458
1.8582 -4.2560 -2.1383
-1.4567 -4.5812 1.7404
Th Cu Gd Ga
1 1 1 1
Direct
0.0000 0.0000 0.0000
0.2500 0.2500 0.2500
0.5000 0.5000 0.5000
0.7500 0.7500 0.7500
```


(4)
The following is a DFT calculation (PBE) of a relaxed GdTiGaCu crystal.

POSCAR file:
```
GdTiGaCu
1.0
4.7593 0.0000 0.0000
2.3796 4.1217 0.0000
2.3796 1.3739 3.8859
Ti Gd Ga Cu
1 1 1 1
Direct
0.2500 0.2500 0.2500
0.7500 0.7500 0.7500
0.0000 0.0000 0.0000
0.5000 0.5000 0.5000
```


(5)
The following is a DFT calculation (PBE) of a relaxed GdYGaCu crystal.

POSCAR file:
```
GdYGaCu
1.0
-0.4425 4.9692 0.6839
-4.2377 1.9071 1.9394
0.0001 1.9102 4.6592
Y Ga Cu Gd
1 1 1 1
Direct
0.7500 0.7500 0.7500
0.5000 0.5000 0.5000
0.0000 0.0000 0.0000
0.2500 0.2500 0.2500
```


(6)
The following is a DFT calculation (PBE) of a relaxed Ga2CuGe crystal.

POSCAR file:
```
Ga2CuGe
1.0
-2.0065 3.1896 1.4730
-2.6099 -0.4858 3.0531
2.1935 1.7158 4.8288
Ge Ga Cu
1 2 1
Direct
0.4964 0.4964 0.5109
0.2682 0.2682 0.1954
0.0711 0.0711 0.7868
0.6644 0.6644 0.0069
```


(7)
The following is a DFT calculation (PBE) of a relaxed Ga12Cu3Ge5 crystal.

POSCAR file:
```
Ga12Cu3Ge5
1.0
-11.1494 -2.9273 5.5054
8.6056 -9.0333 2.7442
4.0988 11.2664 4.4109
Ge Ga Cu
20 48 12
Direct
0.5000 0.0000 0.0000
0.7500 0.6250 0.3750
0.6250 0.8750 0.2500
0.5000 0.5000 0.5000
0.0000 0.5000 0.5000
0.5000 0.0000 0.5000
0.5000 0.5000 0.0000
0.0000 0.0000 0.5000
0.2500 0.3750 0.6250
0.8750 0.6250 0.7500
0.7500 0.1250 0.8750
0.2500 0.8750 0.1250
0.3750 0.1250 0.7500
0.0000 0.0000 0.0000
0.0000 0.5000 0.0000
0.6250 0.7500 0.8750
0.8750 0.2500 0.6250
0.1250 0.3750 0.2500
0.1250 0.7500 0.3750
0.3750 0.2500 0.1250
0.3270 0.5655 0.4373
0.4373 0.3718 0.6103
0.9345 0.3718 0.2615
0.6103 0.8718 0.4373
0.6730 0.4345 0.5627
0.9373 0.1103 0.8718
0.8270 0.8897 0.2615
0.7615 0.4345 0.3718
0.5627 0.6282 0.3897
0.7385 0.6103 0.1730
0.7385 0.1282 0.0655
0.2615 0.8718 0.9345
0.0655 0.4373 0.8270
0.6282 0.5627 0.8897
0.3897 0.1282 0.5627
0.2615 0.3897 0.8270
0.3718 0.4373 0.1103
0.1282 0.7385 0.5655
0.5627 0.9345 0.6730
0.5655 0.3270 0.9373
0.1730 0.0627 0.9345
0.6103 0.7385 0.6730
0.3270 0.7615 0.3897
0.4345 0.7615 0.8718
0.8270 0.9373 0.0655
0.0655 0.6282 0.7385
0.1103 0.9373 0.3718
0.6730 0.2385 0.6103
0.2385 0.5655 0.6282
0.8897 0.0627 0.6282
0.4373 0.0655 0.3270
0.1103 0.1730 0.2385
0.0627 0.8897 0.1282
0.8897 0.8270 0.7615
0.1282 0.3897 0.0627
0.0627 0.1730 0.4345
0.8718 0.6103 0.9373
0.4345 0.6730 0.0627
0.9345 0.5627 0.1730
0.2385 0.6730 0.1103
0.3897 0.2615 0.3270
0.7615 0.3270 0.8897
0.6282 0.0655 0.2385
0.3718 0.9345 0.7615
0.9373 0.8270 0.5655
0.1730 0.1103 0.7385
0.8718 0.2615 0.4345
0.5655 0.2385 0.1282
0.7500 0.3750 0.1250
0.8750 0.7500 0.1250
0.1250 0.2500 0.8750
0.6250 0.2500 0.3750
0.1250 0.8750 0.7500
0.3750 0.7500 0.6250
0.6250 0.3750 0.7500
0.2500 0.6250 0.8750
0.2500 0.1250 0.3750
0.7500 0.8750 0.6250
0.8750 0.1250 0.2500
0.3750 0.6250 0.2500
```


(8)
The following is a DFT calculation (PBE) of a relaxed Ga2CuGe crystal.

POSCAR file:
```
Ga2CuGe
1.0
-2.4392 0.9635 -1.5799
-2.7172 -1.3521 0.4037
-3.5079 5.2752 5.6666
Ga Cu Ge
2 1 1
Direct
0.7429 0.7429 0.7714
0.2571 0.2571 0.2286
0.0000 0.0000 0.0000
0.5000 0.5000 0.5000
```


no.,calculated formation energy (meV per atom)
1,-218
2,-405
3,-303
4,-216
5,-416
6,81
7,76
8,95